1.
Entry from Alexandria: crystalline Ac3Os at its relaxed geometry (PBE).

abc: 4.2267 13.4319 10.1833
angles: 90.00 90.00 90.00
Fractional coordinates of all 16 atoms:
Ac1 0.0000 0.0901 0.2500
Ac2 0.0000 0.3530 0.0729
Ac3 0.0000 0.3530 0.4271
Ac4 0.0000 0.6470 0.5729
Ac5 0.0000 0.6470 0.9271
Ac6 0.0000 0.9099 0.7500
Ac7 0.5000 0.1470 0.5729
Ac8 0.5000 0.1470 0.9271
Ac9 0.5000 0.4099 0.7500
Ac10 0.5000 0.5901 0.2500
Ac11 0.5000 0.8530 0.0729
Ac12 0.5000 0.8530 0.4271
Os1 0.0000 0.2539 0.7500
Os2 0.0000 0.7461 0.2500
Os3 0.5000 0.2461 0.2500
Os4 0.5000 0.7539 0.7500

- V (A^3/atom) = 36.13
- energy (eV/f.u.) = -23.65
- ΔE to the lowest computed polymorph (meV/atom) = 0.0
- ΔE_f (eV/atom) = -0.0233
- SG = Cmcm



2.
Entry from Alexandria: crystalline KCd3Hg at its relaxed geometry (PBE).

abc: 5.6080 5.6080 5.6080
angles: 90.00 90.00 90.00
Fractional coordinates of all 5 atoms:
K1 0.0000 0.0000 0.0000
Cd1 0.0000 0.5000 0.5000
Cd2 0.5000 0.0000 0.5000
Cd3 0.5000 0.5000 0.0000
Hg1 0.5000 0.5000 0.5000

- V (A^3/atom) = 35.27
- energy (eV/f.u.) = -3.81
- ΔE to the lowest computed polymorph (meV/atom) = 180.2
- ΔE_f (eV/atom) = 0.0673
- SG = Pm-3m



3.
Entry from Alexandria: crystalline Ga3SiNi7 at its relaxed geometry (PBE).

abc: 5.8802 5.8802 4.5815
angles: 108.14 108.14 91.53
Fractional coordinates of all 11 atoms:
Ga1 0.0000 0.0000 0.0000
Ga2 0.2147 0.7853 0.5000
Ga3 0.7853 0.2147 0.5000
Si1 0.5000 0.5000 0.0000
Ni1 0.0834 0.5821 0.8279
Ni2 0.2119 0.2119 0.5535
Ni3 0.4179 0.9166 0.1721
Ni4 0.5000 0.5000 0.5000
Ni5 0.5821 0.0834 0.8279
Ni6 0.7881 0.7881 0.4465
Ni7 0.9166 0.4179 0.1721

- V (A^3/atom) = 12.88
- formation energy (no corrections) (eV per atom) = -0.148
- energy (eV/f.u.) = -56.60
- SG = C2/m



> Look up the energy of the first one.

-23.65 eV/f.u.